[1]
Entry from Alexandria: a geometry-optimized Ba4PH5 structure (PBE-GGA).

Geometry as CIF:
```
data_Ba4PH5
_space_group_name_H-M_alt 'C 1 2/m 1'
_space_group_IT_number 12
_space_group_name_Hall '-C 2y'
_cell_length_a 14.842
_cell_length_b 4.427
_cell_length_c 7.688
_cell_angle_alpha 90.00
_cell_angle_beta 102.30
_cell_angle_gamma 90.00
loop_
_atom_site_label
_atom_site_fract_x
_atom_site_fract_y
_atom_site_fract_z
Ba1 0.116 0.000 0.346
Ba2 0.146 0.500 0.856
P1 0.000 0.500 0.500
H1 0.000 0.500 0.000
H2 0.169 0.000 0.037
H3 0.243 0.000 0.681
```

***

[2]
Entry from Alexandria: a geometry-optimized Tl3SbH4 structure (PBE-GGA).

Geometry as CIF:
```
data_Tl3SbH4
_space_group_name_H-M_alt 'I m m m'
_space_group_IT_number 71
_space_group_name_Hall '-I 2 2'
_cell_length_a 3.367
_cell_length_b 6.411
_cell_length_c 13.498
_cell_angle_alpha 90.00
_cell_angle_beta 90.00
_cell_angle_gamma 90.00
loop_
_atom_site_label
_atom_site_fract_x
_atom_site_fract_y
_atom_site_fract_z
Tl1 0.000 0.000 0.000
Tl2 0.000 0.500 0.273
Sb1 0.000 0.000 0.500
H1 0.000 0.219 0.400
```

***

[3]
Entry from Alexandria: a geometry-optimized In2P3 structure (PBE-GGA).

Properties
Energy relative to the elements: 0.19 eV/atom

Geometry as CIF:
```
data_In2P3
_space_group_name_H-M_alt 'F d d 2'
_space_group_IT_number 43
_space_group_name_Hall 'F 2 -2d'
_cell_length_a 10.741
_cell_length_b 14.134
_cell_length_c 5.964
_cell_angle_alpha 90.00
_cell_angle_beta 90.00
_cell_angle_gamma 90.00
loop_
_atom_site_label
_atom_site_fract_x
_atom_site_fract_y
_atom_site_fract_z
In1 0.022 0.146 0.000
P1 0.000 0.000 0.422
P2 0.109 0.318 0.884
```

***

[4]
Entry from Alexandria: a geometry-optimized BaSr2SnP structure (PBE-GGA).

Properties
Energy relative to the elements: -0.66 eV/atom

Geometry as CIF:
```
data_BaSr2SnP
_space_group_name_H-M_alt 'P 4 m m'
_space_group_IT_number 99
_space_group_name_Hall 'P 4 -2'
_cell_length_a 5.788
_cell_length_b 5.788
_cell_length_c 6.189
_cell_angle_alpha 90.00
_cell_angle_beta 90.00
_cell_angle_gamma 90.00
loop_
_atom_site_label
_atom_site_fract_x
_atom_site_fract_y
_atom_site_fract_z
Ba1 0.000 0.000 0.000
Sr1 0.000 0.500 0.497
Sn1 0.500 0.500 0.008
P1 0.000 0.000 0.501
```

***

| no. | E (eV/atom) | M_tot (μB/f.u.) |
| --- | --- | --- |
| 1 | -3.576 | 0.0 |
| 2 | -2.726 | 0.0 |
| 3 | -4.156 | 0.0 |
| 4 | -3.597 | 0.4 |